# Pr5C2Cl9 SCAN single point on PBEsol structure
# - E_form (uncorrected) (eV/atom) = -2.11
data_Pr5C2Cl9
_chemical_formula_sum 'Pr10 C4 Cl18'
_symmetry_space_group_name_H-M 'P -1'
_symmetry_Int_Tables_number 2
_cell_length_a 8.468
_cell_length_b 8.531
_cell_length_c 11.829
_cell_angle_alpha 84.68
_cell_angle_beta 85.12
_cell_angle_gamma 61.14
loop_
_symmetry_equiv_pos_as_xyz
'x,y,z'
'-x,-y,-z'
loop_
_atom_site_label
_atom_site_type_symbol
_atom_site_fract_x
_atom_site_fract_y
_atom_site_fract_z
_atom_site_occupancy
Pr1 Pr 0.102 0.204 0.006 1
Pr2 Pr 0.131 0.773 0.270 1
Pr3 Pr 0.206 0.184 0.493 1
Pr4 Pr 0.228 0.429 0.742 1
Pr5 Pr 0.396 0.901 0.782 1
C1 C 0.141 0.200 0.811 1
C2 C 0.172 0.189 0.689 1
Cl1 Cl 0.000 0.000 0.500 1
Cl2 Cl 0.084 0.839 0.769 1
Cl3 Cl 0.163 0.367 0.257 1
Cl4 Cl 0.176 0.552 0.504 1
Cl5 Cl 0.217 0.830 0.032 1
Cl6 Cl 0.221 0.460 0.978 1
Cl7 Cl 0.398 0.909 0.277 1
Cl8 Cl 0.457 0.825 0.551 1
Cl9 Cl 0.487 0.485 0.230 1
Cl10 Cl 0.500 0.000 0.000 1

***

# ZrFe2SN SCAN single point on PBEsol structure
# - E_form (uncorrected) (eV/atom) = 1.25
data_ZrFe2SN
_chemical_formula_sum 'Zr1 Fe2 S1 N1'
_symmetry_space_group_name_H-M 'P 4/m m m'
_symmetry_Int_Tables_number 123
_symmetry_space_group_name_Hall '-P 4 2'
_cell_length_a 4.821
_cell_length_b 4.821
_cell_length_c 3.898
_cell_angle_alpha 90.00
_cell_angle_beta 90.00
_cell_angle_gamma 90.00
loop_
_atom_site_label
_atom_site_type_symbol
_atom_site_fract_x
_atom_site_fract_y
_atom_site_fract_z
_atom_site_occupancy
Zr1 Zr 0.000 0.000 0.000 1
Fe1 Fe 0.000 0.500 0.000 1
S1 S 0.500 0.500 0.500 1
N1 N 0.000 0.000 0.500 1

***

# CrPbO2 SCAN single point on PBEsol structure
# - E_form (uncorrected) (eV/atom) = -0.94
data_CrPbO2
_chemical_formula_sum 'Cr3 Pb3 O6'
_symmetry_space_group_name_H-M 'R -3 m'
_symmetry_Int_Tables_number 166
_symmetry_space_group_name_Hall '-R 3 2"'
_cell_length_a 3.6845
_cell_length_b 3.6845
_cell_length_c 18.5839
_cell_angle_alpha 90.00
_cell_angle_beta 90.00
_cell_angle_gamma 120.00
loop_
_atom_site_label
_atom_site_type_symbol
_atom_site_fract_x
_atom_site_fract_y
_atom_site_fract_z
_atom_site_occupancy
Cr1 Cr 0.0000 0.0000 0.0000 1
Pb1 Pb 0.0000 0.0000 0.5000 1
O1 O 0.0000 0.0000 0.0957 1

***

# MnCo SCAN single point on PBEsol structure
# - E_form (eV/atom) = 0.211
data_MnCo
_chemical_formula_sum 'Mn2 Co2'
_symmetry_space_group_name_H-M 'P -3 m 1'
_symmetry_Int_Tables_number 164
_symmetry_space_group_name_Hall '-P 3 2"'
_cell_length_a 2.4414
_cell_length_b 2.4414
_cell_length_c 7.7931
_cell_angle_alpha 90.00
_cell_angle_beta 90.00
_cell_angle_gamma 120.00
loop_
_atom_site_label
_atom_site_type_symbol
_atom_site_fract_x
_atom_site_fract_y
_atom_site_fract_z
_atom_site_occupancy
Mn1 Mn 0.3333 0.6667 0.3756 1
Co1 Co 0.3333 0.6667 0.8729 1

***

# ZrAlSi4 SCAN single point on PBEsol structure
# - E_form (uncorrected) (eV/atom) = 0.01
data_ZrAlSi4
_chemical_formula_sum 'Zr4 Al4 Si16'
_symmetry_space_group_name_H-M 'F -4 3 m'
_symmetry_Int_Tables_number 216
_symmetry_space_group_name_Hall 'F -4 2 3'
_cell_length_a 7.093
_cell_length_b 7.093
_cell_length_c 7.093
_cell_angle_alpha 90.00
_cell_angle_beta 90.00
_cell_angle_gamma 90.00
loop_
_atom_site_label
_atom_site_type_symbol
_atom_site_fract_x
_atom_site_fract_y
_atom_site_fract_z
_atom_site_occupancy
Zr1 Zr 0.000 0.000 0.000 1
Al1 Al 0.250 0.250 0.250 1
Si1 Si 0.125 0.125 0.625 1

***

# CeLu3S6 SCAN single point on PBEsol structure
# - E_form (uncorrected) (eV/atom) = -2.35
data_CeLu3S6
_chemical_formula_sum 'Ce2 Lu6 S12'
_symmetry_space_group_name_H-M 'P 1 21/m 1'
_symmetry_Int_Tables_number 11
_cell_length_a 10.754
_cell_length_b 3.847
_cell_length_c 11.012
_cell_angle_alpha 90.00
_cell_angle_beta 108.91
_cell_angle_gamma 90.00
loop_
_symmetry_equiv_pos_as_xyz
'x,y,z'
'-x,-y,-z'
'-x,y+1/2,-z'
'x,-y+1/2,z'
loop_
_atom_site_label
_atom_site_type_symbol
_atom_site_fract_x
_atom_site_fract_y
_atom_site_fract_z
_atom_site_occupancy
Ce1 Ce 0.050 0.250 0.196 1
Lu1 Lu 0.159 0.250 0.586 1
Lu2 Lu 0.321 0.750 0.000 1
Lu3 Lu 0.442 0.250 0.334 1
S1 S 0.084 0.750 0.407 1
S2 S 0.121 0.250 0.964 1
S3 S 0.197 0.750 0.751 1
S4 S 0.266 0.750 0.229 1
S5 S 0.392 0.250 0.557 1
S6 S 0.481 0.250 0.114 1